CePr2Si3Pt4 | PBE-GGA | optimized geometry

Unit cell a=4.322 b=4.322 c=10.852 alpha=90.00 beta=90.00 gamma=90.00
Positions (direct):
Ce: 0.000 0.000 0.000
Pr: 0.000 0.500 0.727
Pr: 0.500 0.000 0.273
Si: 0.000 0.500 0.384
Si: 0.500 0.000 0.616
Si: 0.500 0.500 0.000
Pt: 0.000 0.000 0.500
Pt: 0.000 0.500 0.163
Pt: 0.500 0.000 0.837
Pt: 0.500 0.500 0.500

energy	-65.963	eV per cell
size of the total moment	0.0	μB/f.u.

=====

LiPrPdN | PBE-GGA | optimized geometry

Unit cell a=3.544 b=3.544 c=10.948 alpha=90.00 beta=90.00 gamma=90.00
Positions (direct):
Li: 0.000 0.000 0.000
Li: 0.500 0.500 0.500
Pr: 0.000 0.000 0.701
Pr: 0.500 0.500 0.201
Pd: 0.000 0.000 0.384
Pd: 0.500 0.500 0.884
N: 0.000 0.000 0.178
N: 0.500 0.500 0.678

energy	-45.439	eV per cell
size of the total moment	0.0	μB/f.u.